A plane-wave DFT calculation with PBE-GGA was carried out for an optimized crystal structure of Ho5Bi2AuC.

Values from the calculation:
- formation enthalpy at 0 K (eV/atom) = -0.558
- uncorrected energy (eV/atom) = -5.352

Cell lengths 4.6992, 4.6992, 10.8681 Å; angles 90.00, 90.00, 90.00 degrees
With the nearest neighbours (Å) after each atom.
Atoms (fractional coordinates):
Ho (0.0000, 0.0000, 0.0000)  2 Bi 3.14, 4 Au 3.32
Ho (0.0000, 0.5000, 0.5000)  2 C 2.35
Ho (0.5000, 0.0000, 0.5000)  2 C 2.35
Ho (0.5000, 0.5000, 0.2611)  1 C 2.60, 1 Au 2.84
Ho (0.5000, 0.5000, 0.7389)  1 C 2.60, 1 Au 2.84
Bi (0.0000, 0.0000, 0.2887)  9 Ho 3.14-3.34
Bi (0.0000, 0.0000, 0.7113)  9 Ho 3.14-3.34
Au (0.5000, 0.5000, 0.0000)  2 Ho 2.84
C (0.5000, 0.5000, 0.5000)  6 Ho 2.35-2.60


A plane-wave DFT calculation with PBE-GGA was carried out for an optimized crystal structure of CrGe3C.

Values from the calculation:
- formation enthalpy at 0 K (eV/atom) = 1.068
- uncorrected energy (eV/atom) = -5.471
- polymorph energy (0 for the lowest one) (meV per atom) = 0

Cell lengths 4.3105, 4.3105, 4.3105 Å; angles 90.00, 90.00, 90.00 degrees
With the nearest neighbours (Å) after each atom.
Atoms (fractional coordinates):
Cr (0.0000, 0.0000, 0.0000)  12 Ge 3.05
Ge (0.0000, 0.5000, 0.5000)  2 C 2.16
Ge (0.5000, 0.0000, 0.5000)  2 C 2.16
Ge (0.5000, 0.5000, 0.0000)  2 C 2.16
C (0.5000, 0.5000, 0.5000)  6 Ge 2.16


A plane-wave DFT calculation with PBE-GGA was carried out for an optimized crystal structure of CrFeAg2.

Values from the calculation:
- formation enthalpy at 0 K (eV/atom) = 0.633
- uncorrected energy (eV/atom) = -5.315
- polymorph energy (0 for the lowest one) (meV per atom) = 305

Cell lengths 4.5021, 4.5021, 4.5021 Å; angles 60.00, 60.00, 60.00 degrees
With the nearest neighbours (Å) after each atom.
Atoms (fractional coordinates):
Cr (0.0000, 0.0000, 0.0000)  4 Fe 2.76, 4 Ag 2.76
Fe (0.7500, 0.7500, 0.7500)  4 Cr 2.76, 4 Ag 2.76
Ag (0.2500, 0.2500, 0.2500)  4 Cr 2.76, 4 Ag 2.76
Ag (0.5000, 0.5000, 0.5000)  4 Fe 2.76, 4 Ag 2.76


A plane-wave DFT calculation with PBE-GGA was carried out for an optimized crystal structure of Ac6HgOs2Br3.

Values from the calculation:
- uncorrected energy (eV/atom) = -5.166

Cell lengths 10.7022, 10.7022, 9.8345 Å; angles 108.30, 108.30, 23.69 degrees
With the nearest neighbours (Å) after each atom.
Atoms (fractional coordinates):
Ac (0.0249, 0.0249, 0.2567)  1 Os 2.82
Ac (0.3178, 0.3178, 0.4437)  3 Os 3.00-3.02
Ac (0.3346, 0.3346, 0.8663)  2 Os 2.96, 1 Hg 3.29
Ac (0.6654, 0.6654, 0.1337)  2 Os 2.96, 1 Hg 3.29
Ac (0.6822, 0.6822, 0.5563)  3 Os 3.00-3.02
Ac (0.9751, 0.9751, 0.7433)  1 Os 2.82
Hg (0.5000, 0.5000, 0.0000)  6 Ac 3.26-3.29
Os (0.1667, 0.1667, 0.3366)  6 Ac 2.82-3.02
Os (0.8333, 0.8333, 0.6634)  6 Ac 2.82-3.02
Br (0.1671, 0.1671, 0.8358)  6 Ac 3.42-3.83
Br (0.5000, 0.5000, 0.5000)  6 Ac 3.41-3.68
Br (0.8329, 0.8329, 0.1642)  6 Ac 3.42-3.83


A plane-wave DFT calculation with PBE-GGA was carried out for an optimized crystal structure of CaNd2Y4Er.

Values from the calculation:
- formation enthalpy at 0 K (eV/atom) = 0.420
- uncorrected energy (eV/atom) = -4.824

Cell lengths 9.6579, 9.6579, 6.8783 Å; angles 110.85, 110.85, 88.28 degrees
With the nearest neighbours (Å) after each atom.
Atoms (fractional coordinates):
Ca (0.0000, 0.0000, 0.0000)  6 Y 3.38-3.61, 2 Ca 3.44
Ca (0.0000, 0.0000, 0.5000)  6 Y 3.38-3.61, 2 Ca 3.44
Nd (0.0000, 0.5000, 0.0000)  6 Y 3.41-3.48, 2 Er 3.44
Nd (0.5000, 0.0000, 0.5000)  6 Y 3.41-3.48, 2 Er 3.44
Nd (0.5000, 0.5000, 0.0000)  6 Y 3.33-3.35, 2 Nd 3.44
Nd (0.5000, 0.5000, 0.5000)  6 Y 3.33-3.35, 2 Nd 3.44
Y (0.2504, 0.7485, 0.9983)  3 Nd 3.35-3.48, 1 Ca 3.38, 2 Y 3.42-3.45, 2 Er 3.46-3.47
Y (0.2515, 0.7496, 0.5017)  3 Nd 3.35-3.48, 1 Ca 3.38, 2 Y 3.42-3.45, 2 Er 3.46-3.47
Y (0.2600, 0.2665, 0.5126)  1 Er 3.32, 3 Nd 3.33-3.41, 2 Y 3.44, 2 Ca 3.60-3.61
Y (0.2665, 0.2600, 0.0126)  1 Er 3.32, 3 Nd 3.33-3.41, 2 Y 3.44, 2 Ca 3.60-3.61
Y (0.7335, 0.7400, 0.9874)  1 Er 3.32, 3 Nd 3.33-3.41, 2 Y 3.44, 2 Ca 3.60-3.61
Y (0.7400, 0.7335, 0.4874)  1 Er 3.32, 3 Nd 3.33-3.41, 2 Y 3.44, 2 Ca 3.60-3.61
Y (0.7485, 0.2504, 0.4983)  3 Nd 3.35-3.48, 1 Ca 3.38, 2 Y 3.42-3.45, 2 Er 3.46-3.47
Y (0.7496, 0.2515, 0.0017)  3 Nd 3.35-3.48, 1 Ca 3.38, 2 Y 3.42-3.45, 2 Er 3.46-3.47
Er (0.0000, 0.5000, 0.5000)  6 Y 3.32-3.47, 2 Nd 3.44
Er (0.5000, 0.0000, 0.0000)  6 Y 3.32-3.47, 2 Nd 3.44


A plane-wave DFT calculation with PBE-GGA was carried out for an optimized crystal structure of KZr2VSb.

Values from the calculation:
- uncorrected energy (eV/atom) = -4.855

Cell lengths 5.3998, 5.3998, 5.8744 Å; angles 90.00, 90.00, 90.00 degrees
With the nearest neighbours (Å) after each atom.
Atoms (fractional coordinates):
K (0.0000, 0.0000, 0.0000)  2 Sb 2.94
Zr (0.0000, 0.5000, 0.5000)  2 Sb 2.70
Zr (0.5000, 0.0000, 0.5000)  2 Sb 2.70
V (0.5000, 0.5000, 0.0000)  4 K 3.82, 8 Zr 3.99
Sb (0.0000, 0.0000, 0.5000)  4 Zr 2.70, 2 K 2.94


A plane-wave DFT calculation with PBE-GGA was carried out for an optimized crystal structure of PmHf2Sc.

Values from the calculation:
- formation enthalpy at 0 K (eV/atom) = 0.177
- uncorrected energy (eV/atom) = -7.570
- polymorph energy (0 for the lowest one) (meV per atom) = 0

Cell lengths 4.6067, 4.6067, 4.6933 Å; angles 90.00, 90.00, 90.00 degrees
With the nearest neighbours (Å) after each atom.
Atoms (fractional coordinates):
Pm (0.0000, 0.0000, 0.0000)  4 Sc 3.26, 8 Hf 3.29
Hf (0.0000, 0.5000, 0.5000)  4 Hf 3.26, 4 Pm 3.29, 4 Sc 3.29
Hf (0.5000, 0.0000, 0.5000)  4 Hf 3.26, 4 Pm 3.29, 4 Sc 3.29
Sc (0.5000, 0.5000, 0.0000)  4 Pm 3.26, 8 Hf 3.29


A plane-wave DFT calculation with PBE-GGA was carried out for an optimized crystal structure of Mg2AsRh.

Values from the calculation:
- formation enthalpy at 0 K (eV/atom) = -0.448
- uncorrected energy (eV/atom) = -4.246

Cell lengths 3.2504, 4.1900, 5.3673 Å; angles 90.00, 107.46, 90.00 degrees
With the nearest neighbours (Å) after each atom.
Atoms (fractional coordinates):
Mg (0.0000, 0.0000, 0.0000)  3 As 2.80-2.83, 4 Rh 2.81
Mg (0.3182, 0.5000, 0.6434)  3 Rh 2.77-2.86, 4 As 2.82-2.83
As (0.7242, 0.0000, 0.4525)  2 Rh 2.51, 1 Mg 2.80
Rh (0.5907, 0.5000, 0.1836)  2 As 2.51, 1 Mg 2.77